ReHRu, relaxed, DFT PBE; electronic total energy = -48.39 eV for the cell shown; energy above the lowest structure with this stoichiometry = 0.150 eV/atom; crystal system = orthorhombic
1.0
2.819 -2.822 0.000
2.819 2.822 0.000
0.000 0.000 4.040
Re H Ru
2 2 2
direct
0.000 0.500 0.000 Re
0.500 0.000 0.000 Re
0.250 0.750 0.734 H
0.750 0.250 0.266 H
0.000 0.000 0.500 Ru
0.500 0.500 0.500 Ru